[1]
Ca2CdBr PBE optimized geometry; SG = I4/mmm, No. 139; energy relative to the lowest polymorph listed for this composition = 271.5 meV per atom; magnetic moment = 0.0 μB/f.u.; ΔE_f (raw) = -54.9 kJ per mole of atoms
1.0
5.168 0.000 0.000
0.000 5.168 0.000
0.000 0.000 8.911
Ca Cd Br
4 2 2
Cartesian
0.000 2.584 2.228
0.000 2.584 6.683
2.584 0.000 2.228
2.584 0.000 6.683
0.000 0.000 0.000
2.584 2.584 4.455
0.000 0.000 4.455
2.584 2.584 0.000

[2]
Ca2CdBr PBE optimized geometry; SG = Fm-3m, No. 225; energy relative to the lowest polymorph listed for this composition = 297.7 meV per atom; magnetic moment = 1.2 μB/f.u.; ΔE_f (raw) = -52.4 kJ per mole of atoms
1.0
7.862 0.000 0.000
0.000 7.862 0.000
0.000 0.000 7.862
Ca Cd Br
8 4 4
Cartesian
1.965 1.965 1.965
1.965 1.965 5.896
1.965 5.896 1.965
1.965 5.896 5.896
5.896 1.965 1.965
5.896 1.965 5.896
5.896 5.896 1.965
5.896 5.896 5.896
0.000 0.000 0.000
0.000 3.931 3.931
3.931 0.000 3.931
3.931 3.931 0.000
0.000 0.000 3.931
0.000 3.931 0.000
3.931 0.000 0.000
3.931 3.931 3.931

[3]
CaCdBr3 PBE optimized geometry; SG = Pm-3m, No. 221; energy relative to the lowest polymorph listed for this composition = 297.6 meV per atom; magnetic moment = 0.0 μB/f.u.; ΔE_f (raw) = -78.8 kJ per mole of atoms
1.0
5.533 0.000 0.000
0.000 5.533 0.000
0.000 0.000 5.533
Ca Cd Br
1 1 3
Cartesian
0.000 0.000 0.000
2.766 2.766 2.766
0.000 2.766 2.766
2.766 0.000 2.766
2.766 2.766 0.000

[4]
CaCdBr4 PBE optimized geometry; SG = C2/m, No. 12; energy relative to the lowest polymorph listed for this composition = 0.0 meV per atom; magnetic moment = 0.0 μB/f.u.; ΔE_f (raw) = -139.0 kJ per mole of atoms
1.0
15.616 0.000 0.000
0.000 4.170 0.000
-3.269 0.000 6.411
Ca Cd Br
2 2 8
Cartesian
0.000 0.000 0.000
7.808 2.085 0.000
-1.634 2.085 3.205
6.173 0.000 3.205
0.280 0.000 2.921
-1.283 2.085 6.011
5.822 0.000 0.400
4.259 2.085 3.490
8.088 2.085 2.921
6.525 0.000 6.011
13.630 2.085 0.400
12.066 0.000 3.490

[5]
Ca2CdBr PBE optimized geometry; SG = C2/m, No. 12; energy relative to the lowest polymorph listed for this composition = 20.7 meV per atom; magnetic moment = 0.0 μB/f.u.; ΔE_f (raw) = -79.1 kJ per mole of atoms
1.0
7.063 0.000 0.000
0.000 4.060 0.000
-2.367 0.000 8.574
Ca Cd Br
4 2 2
Cartesian
1.165 0.000 2.155
0.000 2.030 6.419
4.696 2.030 2.155
3.531 0.000 6.419
-1.184 0.000 4.287
2.348 2.030 4.287
0.000 2.030 0.000
3.532 0.000 0.000

[6]
Ca2CdBr PBE optimized geometry; SG = P2/m, No. 10; energy relative to the lowest polymorph listed for this composition = 0.0 meV per atom; magnetic moment = 0.0 μB/f.u.; ΔE_f (raw) = -81.1 kJ per mole of atoms
1.0
3.952 0.000 0.000
0.000 3.746 0.000
-0.009 0.000 8.555
Ca Cd Br
2 1 1
Cartesian
0.002 0.000 1.912
3.942 0.000 6.643
1.976 1.873 0.000
-0.004 1.873 4.278

[7]
Ca2CdBr PBE optimized geometry; SG = Immm, No. 71; energy relative to the lowest polymorph listed for this composition = 204.4 meV per atom; magnetic moment = 0.0 μB/f.u.; ΔE_f (raw) = -61.4 kJ per mole of atoms
1.0
4.035 0.000 0.000
0.000 6.644 0.000
0.000 0.000 9.731
Ca Cd Br
4 2 2
Cartesian
0.000 0.000 2.183
0.000 0.000 7.548
2.018 3.322 2.683
2.018 3.322 7.048
0.000 3.322 0.000
2.018 0.000 4.866
0.000 3.322 4.866
2.018 0.000 0.000

[8]
CaCdBr4 PBE optimized geometry; SG = P2/m, No. 10; energy relative to the lowest polymorph listed for this composition = 0.4 meV per atom; magnetic moment = 0.0 μB/f.u.; ΔE_f (raw) = -139.0 kJ per mole of atoms
1.0
7.189 0.000 0.000
0.000 4.170 0.000
-1.626 0.000 7.302
Ca Cd Br
1 1 4
Cartesian
0.000 0.000 0.000
3.595 2.085 0.000
-0.371 2.085 5.709
2.473 0.000 1.572
3.091 0.000 5.730
5.935 2.085 1.594

[9]
Ca2CdBr PBE optimized geometry; SG = P4/mmm, No. 123; energy relative to the lowest polymorph listed for this composition = 64.2 meV per atom; magnetic moment = 0.0 μB/f.u.; ΔE_f (raw) = -74.9 kJ per mole of atoms
1.0
3.686 0.000 0.000
0.000 3.686 0.000
0.000 0.000 8.517
Ca Cd Br
2 1 1
Cartesian
0.000 0.000 2.003
0.000 0.000 6.514
1.843 1.843 0.000
1.843 1.843 4.259

[10]
Ca2CdBr PBE optimized geometry; SG = Imm2, No. 44; energy relative to the lowest polymorph listed for this composition = 113.7 meV per atom; magnetic moment = 0.0 μB/f.u.; ΔE_f (raw) = -70.1 kJ per mole of atoms
1.0
3.765 0.000 0.000
0.000 3.942 0.000
0.000 0.000 16.963
Ca Cd Br
4 2 2
Cartesian
0.000 0.000 0.000
0.000 1.971 4.408
1.882 0.000 12.889
1.882 1.971 8.481
0.000 1.971 14.517
1.882 0.000 6.036
0.000 0.000 10.183
1.882 1.971 1.701

[11]
CaCdBr PBE optimized geometry; SG = P3m1, No. 156; energy relative to the lowest polymorph listed for this composition = 180.1 meV per atom; magnetic moment = 0.0 μB/f.u.; ΔE_f (raw) = -68.7 kJ per mole of atoms
1.0
5.062 0.000 0.000
-2.531 4.383 0.000
0.000 0.000 4.448
Ca Cd Br
1 1 1
Cartesian
0.000 0.000 0.000
2.531 1.461 2.219
0.000 2.922 4.443

[12]
Ca5Cd3Br16 PBE optimized geometry; SG = Cm, No. 8; magnetic moment = 0.0 μB/f.u.; ΔE_f (raw) = -152.4 kJ per mole of atoms
1.0
7.234 -4.183 0.000
7.234 4.183 0.000
-0.195 0.000 13.352
Ca Cd Br
5 3 16
Cartesian
0.000 0.000 0.000
2.288 0.000 9.836
5.929 2.072 6.676
7.192 0.000 3.123
5.929 -2.072 6.676
10.608 2.116 13.350
9.496 0.000 6.657
10.608 -2.116 13.350
5.916 2.140 1.610
2.465 0.000 1.585
4.516 0.000 11.752
8.357 2.198 11.670
4.892 0.000 4.946
8.327 1.963 4.989
7.196 0.000 8.285
10.715 2.024 8.270
5.916 -2.140 1.610
9.677 0.000 1.548
8.327 -1.963 4.989
11.758 0.000 11.863
11.874 0.000 5.152
8.357 -2.198 11.670
10.715 -2.024 8.270
14.286 0.000 8.325

[13]
CaCdBr4 PBE optimized geometry; SG = F-43m, No. 216; energy relative to the lowest polymorph listed for this composition = 1205.7 meV per atom; magnetic moment = 2.0 μB/f.u.; ΔE_f (raw) = -22.7 kJ per mole of atoms
1.0
0.000 4.560 4.560
4.560 0.000 4.560
4.560 4.560 0.000
Ca Cd Br
1 1 4
Cartesian
0.000 0.000 0.000
6.840 6.840 6.840
3.422 3.422 3.422
5.698 5.698 3.422
5.698 3.422 5.698
3.422 5.698 5.698

[14]
Ca2CdBr PBE optimized geometry; SG = I-42d, No. 122; energy relative to the lowest polymorph listed for this composition = 197.8 meV per atom; magnetic moment = 0.0 μB/f.u.; ΔE_f (raw) = -62.0 kJ per mole of atoms
1.0
8.124 0.000 0.000
0.000 8.124 0.000
0.000 0.000 8.148
Ca Cd Br
8 4 4
Cartesian
1.905 2.031 1.019
2.031 5.967 3.056
2.031 6.219 7.130
2.157 2.031 5.093
5.967 6.093 5.093
6.093 1.905 7.130
6.093 2.157 3.056
6.219 6.093 1.019
0.000 0.000 4.074
0.000 4.062 6.111
4.062 0.000 2.037
4.062 4.062 0.000
0.000 0.000 0.000
0.000 4.062 2.037
4.062 0.000 6.111
4.062 4.062 4.074

[15]
Ca2CdBr PBE optimized geometry; SG = Cm, No. 8; energy relative to the lowest polymorph listed for this composition = 124.2 meV per atom; magnetic moment = 0.0 μB/f.u.; ΔE_f (raw) = -69.1 kJ per mole of atoms
1.0
12.567 0.000 0.000
0.000 3.756 0.000
-0.007 0.000 5.237
Ca Cd Br
4 2 2
Cartesian
0.000 0.000 0.000
2.987 1.878 2.622
6.283 1.878 0.000
9.271 0.000 2.622
3.355 0.000 0.004
9.638 1.878 0.004
0.019 1.878 2.619
6.302 0.000 2.619

[16]
CaCdBr PBE optimized geometry; SG = I4mm, No. 107; energy relative to the lowest polymorph listed for this composition = 38.1 meV per atom; magnetic moment = 0.0 μB/f.u.; ΔE_f (raw) = -82.4 kJ per mole of atoms
1.0
3.712 0.000 0.000
0.000 3.712 0.000
0.000 0.000 14.039
Ca Cd Br
2 2 2
Cartesian
0.000 0.000 0.000
1.856 1.856 7.019
0.000 0.000 4.962
1.856 1.856 11.982
0.000 0.000 8.575
1.856 1.856 1.555

[17]
Ca2CdBr PBE optimized geometry; SG = Cmmm, No. 65; energy relative to the lowest polymorph listed for this composition = 142.6 meV per atom; magnetic moment = 0.0 μB/f.u.; ΔE_f (raw) = -67.3 kJ per mole of atoms
1.0
8.076 0.000 0.000
0.000 8.094 0.000
0.000 0.000 3.565
Ca Cd Br
4 2 2
Cartesian
2.019 2.023 0.000
2.019 6.070 0.000
6.057 2.023 0.000
6.057 6.070 0.000
0.000 0.000 1.783
4.038 4.047 1.783
0.000 4.047 1.783
4.038 0.000 1.783

[18]
Ca2CdBr PBE optimized geometry; SG = I-4m2, No. 119; energy relative to the lowest polymorph listed for this composition = 228.5 meV per atom; magnetic moment = 0.0 μB/f.u.; ΔE_f (raw) = -59.0 kJ per mole of atoms
1.0
4.463 0.000 0.000
0.000 4.463 0.000
0.000 0.000 12.780
Ca Cd Br
4 2 2
Cartesian
0.000 0.000 0.000
0.000 2.232 3.195
2.232 0.000 9.585
2.232 2.232 6.390
0.000 2.232 9.585
2.232 0.000 3.195
0.000 0.000 6.390
2.232 2.232 0.000

[19]
CaCdBr3 PBE optimized geometry; SG = Pm-3m, No. 221; energy relative to the lowest polymorph listed for this composition = 0.0 meV per atom; magnetic moment = 0.6 μB/f.u.; ΔE_f (raw) = -107.5 kJ per mole of atoms
1.0
5.646 0.000 0.000
0.000 5.646 0.000
0.000 0.000 5.646
Ca Cd Br
1 1 3
Cartesian
0.000 0.000 0.000
2.823 2.823 2.823
0.000 0.000 2.823
0.000 2.823 0.000
2.823 0.000 0.000

[20]
Ca4CdBr2 PBE optimized geometry; SG = I4/mmm, No. 139; magnetic moment = 0.0 μB/f.u.; ΔE_f (raw) = -57.7 kJ per mole of atoms
1.0
6.055 0.000 0.000
0.000 6.055 0.000
0.000 0.000 15.070
Ca Cd Br
8 2 4
Cartesian
0.000 0.000 3.035
0.000 0.000 12.035
0.000 3.028 0.000
0.000 3.028 7.535
3.028 0.000 0.000
3.028 0.000 7.535
3.028 3.028 4.500
3.028 3.028 10.570
0.000 0.000 0.000
3.028 3.028 7.535
0.000 0.000 5.839
0.000 0.000 9.231
3.028 3.028 1.696
3.028 3.028 13.374

Number 1: volume 238 Å³ per cell. Number 2: volume 486 Å³ per cell. Number 3: volume 169 Å³ per cell. Number 4: volume 417 Å³ per cell. Number 5: volume 246 Å³ per cell. Number 6: volume 127 Å³ per cell. Number 7: volume 261 Å³ per cell. Number 8: volume 219 Å³ per cell. Number 9: volume 116 Å³ per cell. Number 10: volume 252 Å³ per cell. Number 11: volume 99 Å³ per cell. Number 12: volume 808 Å³ per cell. Number 13: volume 190 Å³ per cell. Number 14: volume 538 Å³ per cell. Number 15: volume 247 Å³ per cell. Number 16: volume 193 Å³ per cell. Number 17: volume 233 Å³ per cell. Number 18: volume 255 Å³ per cell. Number 19: volume 180 Å³ per cell. Number 20: volume 553 Å³ per cell.